VASP calculation (GGA-PBE) on a relaxed Cd2P2H10CCl2O11 crystal.

a = 5.607 Å, b = 9.452 Å, c = 12.068 Å
α = 77.43°, β = 82.55°, γ = 74.18°
Positions (direct):
Cd 0.136 0.075 0.253
Cd 0.258 0.399 0.922
Cd 0.742 0.601 0.078
Cd 0.864 0.925 0.747
P 0.139 0.745 0.186
P 0.306 0.395 0.192
P 0.694 0.605 0.808
P 0.861 0.255 0.814
H 0.059 0.831 0.967
H 0.129 0.176 0.616
H 0.217 0.278 0.500
H 0.218 0.858 0.562
H 0.246 0.750 0.877
H 0.265 0.050 0.468
H 0.377 0.797 0.671
H 0.377 0.944 0.878
H 0.460 0.906 0.429
H 0.492 0.926 0.113
H 0.508 0.074 0.887
H 0.540 0.094 0.571
H 0.623 0.056 0.122
H 0.623 0.203 0.329
H 0.735 0.950 0.532
H 0.754 0.250 0.123
H 0.782 0.142 0.438
H 0.783 0.722 0.500
H 0.871 0.824 0.384
H 0.941 0.169 0.033
C 0.164 0.552 0.270
C 0.836 0.448 0.730
Cl 0.145 0.464 0.682
Cl 0.326 0.527 0.393
Cl 0.674 0.473 0.607
Cl 0.855 0.536 0.318
O 0.038 0.849 0.271
O 0.041 0.237 0.905
O 0.120 0.413 0.103
O 0.140 0.852 0.888
O 0.209 0.813 0.645
O 0.248 0.177 0.545
O 0.279 0.961 0.432
O 0.329 0.251 0.281
O 0.398 0.756 0.134
O 0.440 0.587 0.864
O 0.462 0.032 0.121
O 0.538 0.968 0.879
O 0.560 0.413 0.136
O 0.602 0.244 0.866
O 0.671 0.749 0.719
O 0.721 0.039 0.568
O 0.752 0.823 0.455
O 0.791 0.187 0.355
O 0.860 0.148 0.112
O 0.880 0.587 0.897
O 0.959 0.763 0.095
O 0.962 0.151 0.729

Values from the calculation:
* density: 3.08 g/cm³
* energy: -5.248 eV/atom
* SG: P-1 (2)

VASP calculation (GGA-PBE) on a relaxed Lu4CdCoC2 crystal.

a = 3.477 Å, b = 3.477 Å, c = 14.646 Å
α = 90.00°, β = 90.00°, γ = 120.00°
Positions (direct):
Lu 0.000 0.000 0.133
Lu 0.000 0.000 0.867
Lu 0.333 0.667 0.313
Lu 0.333 0.667 0.687
Cd 0.000 0.000 0.500
Co 0.333 0.667 0.000
C 0.667 0.333 0.230
C 0.667 0.333 0.770

Values from the calculation:
* density: 9.70 g/cm³
* energy: -5.790 eV/atom
* SG: P-6m2 (187)
* total magnetic moment: 0.030 μB/atom

VASP calculation (GGA-PBE) on a relaxed Lu4CdCoC2 crystal.

a = 3.476 Å, b = 3.476 Å, c = 14.677 Å
α = 90.00°, β = 90.00°, γ = 120.00°
Positions (direct):
Lu 0.000 0.000 0.131
Lu 0.000 0.000 0.869
Lu 0.667 0.333 0.311
Lu 0.667 0.333 0.689
Cd 0.000 0.000 0.500
Co 0.667 0.333 0.000
C 0.333 0.667 0.228
C 0.333 0.667 0.772

Values from the calculation:
* density: 9.68 g/cm³
* energy: -5.790 eV/atom
* SG: P-6m2 (187)
* total magnetic moment: 0.056 μB/atom

VASP calculation (GGA-PBE) on a relaxed CdCoMo4C2 crystal.

a = 3.058 Å, b = 3.058 Å, c = 13.418 Å
α = 90.00°, β = 90.00°, γ = 120.00°
Positions (direct):
Cd 0.000 0.000 0.000
Co 0.333 0.667 0.500
Mo 0.000 0.000 0.358
Mo 0.000 0.000 0.642
Mo 0.333 0.667 0.185
Mo 0.333 0.667 0.815
C 0.667 0.333 0.269
C 0.667 0.333 0.731

Values from the calculation:
* density: 8.85 g/cm³
* energy: -8.637 eV/atom
* SG: P-6m2 (187)
* total magnetic moment: 0.067 μB/atom

VASP calculation (GGA-PBE) on a relaxed Sc4CdCoC2 crystal.

a = 3.303 Å, b = 3.303 Å, c = 14.232 Å
α = 90.00°, β = 90.00°, γ = 120.00°
Positions (direct):
Sc 0.000 0.000 0.135
Sc 0.000 0.000 0.865
Sc 0.667 0.333 0.310
Sc 0.667 0.333 0.690
Cd 0.000 0.000 0.500
Co 0.667 0.333 0.000
C 0.333 0.667 0.228
C 0.333 0.667 0.772

Values from the calculation:
* density: 4.63 g/cm³
* energy: -6.777 eV/atom
* SG: P-6m2 (187)
* total magnetic moment: 0.018 μB/atom

VASP calculation (GGA-PBE) on a relaxed Y2CdCoC crystal.

a = 5.074 Å, b = 5.074 Å, c = 3.676 Å
α = 90.00°, β = 90.00°, γ = 90.00°
Positions (direct):
Y 0.000 0.500 0.000
Y 0.500 0.000 0.000
Cd 0.000 0.000 0.500
Co 0.500 0.500 0.500
C 0.500 0.500 0.000

Values from the calculation:
* density: 6.34 g/cm³
* energy: -6.370 eV/atom
* SG: P4/mmm (123)
* total magnetic moment: 0.002 μB/atom

VASP calculation (GGA-PBE) on a relaxed Zr4CdCoC2 crystal.

a = 3.317 Å, b = 3.317 Å, c = 14.237 Å
α = 90.00°, β = 90.00°, γ = 120.00°
Positions (direct):
Zr 0.000 0.000 0.135
Zr 0.000 0.000 0.865
Zr 0.333 0.667 0.319
Zr 0.333 0.667 0.681
Cd 0.000 0.000 0.500
Co 0.333 0.667 0.000
C 0.667 0.333 0.233
C 0.667 0.333 0.767

Values from the calculation:
* density: 6.86 g/cm³
* energy: -8.009 eV/atom
* SG: P-6m2 (187)
* total magnetic moment: 0.153 μB/atom

VASP calculation (GGA-PBE) on a relaxed CsCdC3S3N3 crystal.

a = 10.857 Å, b = 7.170 Å, c = 16.338 Å
α = 90.00°, β = 130.93°, γ = 90.00°
Positions (direct):
Cs 0.191 0.019 0.202
Cs 0.191 0.481 0.702
Cs 0.809 0.519 0.298
Cs 0.809 0.981 0.798
Cd 0.000 0.000 0.500
Cd 0.000 0.500 0.000
Cd 0.500 0.000 0.000
Cd 0.500 0.500 0.500
C 0.141 0.537 0.252
C 0.141 0.963 0.752
C 0.254 0.225 0.507
C 0.254 0.275 0.007
C 0.334 0.722 0.600
C 0.334 0.778 0.100
C 0.666 0.222 0.900
C 0.666 0.278 0.400
C 0.746 0.725 0.993
C 0.746 0.775 0.493
C 0.859 0.037 0.248
C 0.859 0.463 0.748
S 0.185 0.644 0.356
S 0.185 0.856 0.856
S 0.390 0.164 0.499
S 0.390 0.336 0.999
S 0.491 0.117 0.833
S 0.491 0.383 0.333
S 0.509 0.617 0.667
S 0.509 0.883 0.167
S 0.610 0.664 0.001
S 0.610 0.836 0.501
S 0.815 0.144 0.144
S 0.815 0.356 0.644
N 0.109 0.042 0.676
N 0.109 0.458 0.176
N 0.153 0.238 0.013
N 0.153 0.262 0.513
N 0.206 0.706 0.055
N 0.206 0.794 0.555
N 0.794 0.206 0.445
N 0.794 0.294 0.945
N 0.847 0.738 0.487
N 0.847 0.762 0.987
N 0.891 0.542 0.824
N 0.891 0.958 0.324

Values from the calculation:
* density: 2.90 g/cm³
* energy: -6.181 eV/atom
* SG: P2_1/c (14)

VASP calculation (GGA-PBE) on a relaxed Lu4CdCuC2 crystal.

a = 3.517 Å, b = 3.517 Å, c = 14.645 Å
α = 90.00°, β = 90.00°, γ = 120.00°
Positions (direct):
Lu 0.000 0.000 0.142
Lu 0.000 0.000 0.858
Lu 0.333 0.667 0.320
Lu 0.333 0.667 0.680
Cd 0.000 0.000 0.500
Cu 0.333 0.667 0.000
C 0.667 0.333 0.230
C 0.667 0.333 0.770

Values from the calculation:
* density: 9.53 g/cm³
* energy: -5.450 eV/atom
* SG: P-6m2 (187)
* total magnetic moment: 0.001 μB/atom

VASP calculation (GGA-PBE) on a relaxed Nb4CdCuC2 crystal.

a = 3.165 Å, b = 3.165 Å, c = 13.913 Å
α = 90.00°, β = 90.00°, γ = 120.00°
Positions (direct):
Nb 0.000 0.000 0.149
Nb 0.000 0.000 0.851
Nb 0.333 0.667 0.322
Nb 0.333 0.667 0.678
Cd 0.000 0.000 0.500
Cu 0.333 0.667 0.000
C 0.667 0.333 0.237
C 0.667 0.333 0.763

Values from the calculation:
* density: 7.86 g/cm³
* energy: -8.180 eV/atom
* SG: P-6m2 (187)
* total magnetic moment: 0.000 μB/atom

VASP calculation (GGA-PBE) on a relaxed CdCuW4C2 crystal.

a = 3.068 Å, b = 3.068 Å, c = 13.674 Å
α = 90.00°, β = 90.00°, γ = 120.00°
Positions (direct):
Cd 0.000 0.000 0.000
Cu 0.667 0.333 0.500
W 0.000 0.000 0.349
W 0.000 0.000 0.651
W 0.667 0.333 0.180
W 0.667 0.333 0.820
C 0.333 0.667 0.264
C 0.333 0.667 0.736

Values from the calculation:
* density: 13.94 g/cm³
* energy: -9.104 eV/atom
* SG: P-6m2 (187)
* total magnetic moment: 0.000 μB/atom

VASP calculation (GGA-PBE) on a relaxed Y4CdCuC2 crystal.

a = 3.625 Å, b = 3.625 Å, c = 15.036 Å
α = 90.00°, β = 90.00°, γ = 120.00°
Positions (direct):
Y 0.000 0.000 0.141
Y 0.000 0.000 0.859
Y 0.667 0.333 0.321
Y 0.667 0.333 0.679
Cd 0.000 0.000 0.500
Cu 0.667 0.333 0.000
C 0.333 0.667 0.231
C 0.333 0.667 0.769

Values from the calculation:
* density: 5.39 g/cm³
* energy: -6.351 eV/atom
* SG: P-6m2 (187)
* total magnetic moment: 0.042 μB/atom